Arrangement P

VASP calculation (GGA-PBE) on an optimized crystal structure of TaTe2W.

**Density of states at the Fermi level**: 1.0430 states/eV/atom
**Volume**: 20.79 Å³/atom

Structure (CIF):
```
data_TaTe2W
_cell_length_a 3.361
_cell_length_b 5.447
_cell_length_c 9.083
_cell_angle_alpha 90.00
_cell_angle_beta 90.00
_cell_angle_gamma 90.00
_symmetry_space_group_name_H-M 'C m m m'
_symmetry_Int_Tables_number 65
_symmetry_space_group_name_Hall '-C 2 2'
loop_
_atom_site_label
_atom_site_type_symbol
_atom_site_fract_x
_atom_site_fract_y
_atom_site_fract_z
Ta1 Ta 0.000 0.000 0.000
Te1 Te 0.000 0.500 0.255
W1 W 0.000 0.000 0.500
```


Arrangement Q

VASP calculation (GGA-PBE) on an optimized crystal structure of TaTe2W.

**Density of states at the Fermi level**: 0.8658 states/eV/atom
**Volume**: 22.88 Å³/atom

Structure (CIF):
```
data_TaTe2W
_cell_length_a 3.360
_cell_length_b 3.360
_cell_length_c 8.108
_cell_angle_alpha 90.00
_cell_angle_beta 90.00
_cell_angle_gamma 90.00
_symmetry_space_group_name_H-M 'P 4 m m'
_symmetry_Int_Tables_number 99
loop_
_symmetry_equiv_pos_as_xyz
'x,y,z'
'-y,x,z'
'-x,-y,z'
'y,-x,z'
'-x,y,z'
'y,x,z'
'x,-y,z'
'-y,-x,z'
loop_
_atom_site_label
_atom_site_type_symbol
_atom_site_fract_x
_atom_site_fract_y
_atom_site_fract_z
Ta1 Ta 0.000 0.000 0.000
Te1 Te 0.000 0.000 0.613
Te2 Te 0.500 0.500 0.215
W1 W 0.500 0.500 0.810
```


Most stable pick: arrangement Q. Distance to second place: 76.0 kJ/mol of atoms.